A relaxed structure of CeDy6Er2, computed with PBE.

The structure belongs to space group R3m (No. 160, hexagonal axes); the cell edges are 7.2424, 7.2424 and 18.8644 Å and the angles 90.00°, 90.00° and 120.00°. The distinct sites, in fractional coordinates, are Ce at (0.0000, 0.0000, 0.0000), Dy at (0.0110, 0.5055, 0.4472), Dy at (0.0363, 0.5181, 0.2532), Er at (0.0000, 0.0000, 0.2606) and Er at (0.0000, 0.0000, 0.4380).

Its total energy is -4.436 eV/atom. Its crystal system is trigonal. The total magnetization comes out at 0.00 μB/atom. The density of states at the Fermi level comes out at 8.94 states/eV/f.u.


A relaxed structure of PmPr4Ga5, computed with PBE.

The structure belongs to space group P4/mmm (No. 123); the cell edges are 3.713, 3.713 and 18.578 Å and the angles 90.00°, 90.00° and 90.00°. The distinct sites, in fractional coordinates, are Pm at (0.000, 0.000, 0.000), Pr at (0.000, 0.000, 0.198), Pr at (0.000, 0.000, 0.399), Ga at (0.500, 0.500, 0.096), Ga at (0.500, 0.500, 0.299) and Ga at (0.500, 0.500, 0.500).

Its total energy is -4.450 eV/atom. Its crystal system is tetragonal. The total magnetization comes out at 0.00 μB/atom. The density of states at the Fermi level comes out at 4.87 states/eV/f.u.


A relaxed structure of RbAu3F, computed with PBE.

The structure belongs to space group Pm-3m (No. 221); the cell edges are 6.177, 6.177 and 6.177 Å and the angles 90.00°, 90.00° and 90.00°. The distinct sites, in fractional coordinates, are Rb at (0.000, 0.000, 0.000), Au at (0.000, 0.000, 0.500) and F at (0.500, 0.500, 0.500).

Its crystal system is cubic. For the uncorrected formation energy, the calculation gives 537.8 kJ/mol of formula units. The total magnetization comes out at 0.19 μB/atom. The density of states at the Fermi level comes out at 10.77 states/eV/f.u.


A relaxed structure of BaBeAg2Au, computed with PBE.

The structure belongs to space group P4/mmm (No. 123); the cell edges are 4.871, 4.871 and 4.781 Å and the angles 90.00°, 90.00° and 90.00°. The distinct sites, in fractional coordinates, are Ba at (0.000, 0.000, 0.000), Be at (0.500, 0.500, 0.500), Ag at (0.000, 0.500, 0.500) and Au at (0.500, 0.500, 0.000).

Its total energy is -3.087 eV/atom. Its crystal system is tetragonal. The total magnetization comes out at 0.00 μB/atom. The density of states at the Fermi level comes out at 2.11 states/eV/f.u.


A relaxed structure of BeBiAs3, computed with PBE.

The structure belongs to space group Pm-3m (No. 221); the cell edges are 5.445, 5.445 and 5.445 Å and the angles 90.00°, 90.00° and 90.00°. The distinct sites, in fractional coordinates, are Be at (0.000, 0.000, 0.000), Bi at (0.500, 0.500, 0.500) and As at (0.000, 0.500, 0.500).

Its total energy is -2.700 eV/atom. Its crystal system is cubic. The total magnetization comes out at 0.00 μB/atom. The density of states at the Fermi level comes out at 9.00 states/eV/f.u.


A relaxed structure of HfFeP2, computed with PBE.

The structure belongs to space group I-42d (No. 122); the cell edges are 4.405, 4.405 and 13.871 Å and the angles 90.00°, 90.00° and 90.00°. The distinct sites, in fractional coordinates, are Hf at (0.000, 0.000, 0.000), Fe at (0.000, 0.000, 0.500) and P at (0.146, 0.250, 0.625).

Its total energy is -7.615 eV/atom. Its crystal system is tetragonal. The total magnetization comes out at 0.00 μB/atom. The density of states at the Fermi level comes out at 2.42 states/eV/f.u.


A relaxed structure of Hf2Zn3Ag, computed with PBE.

The structure belongs to space group Fmmm (No. 69); the cell edges are 5.997, 8.994 and 15.535 Å and the angles 90.00°, 90.00° and 90.00°. The distinct sites, in fractional coordinates, are Hf at (0.250, 0.000, 0.000), Hf at (0.250, 0.250, 0.250), Zn at (0.000, 0.000, 0.164), Zn at (0.000, 0.246, 0.082) and Ag at (0.000, 0.000, 0.333).

Its total energy is -4.564 eV/atom. Its crystal system is orthorhombic. The total magnetization comes out at 0.00 μB/atom. The density of states at the Fermi level comes out at 4.95 states/eV/f.u.


A relaxed structure of PrInSi2O6, computed with PBE.

The structure belongs to space group C2/c (No. 15); the cell edges are 8.075, 12.018 and 7.350 Å and the angles 90.00°, 90.20° and 90.00°. The distinct sites, in fractional coordinates, are Pr at (0.000, 0.154, 0.250), In at (0.000, 0.417, 0.750), Si at (0.154, 0.121, 0.751), O at (0.000, 0.139, 0.588), O at (0.211, 0.283, 0.249) and O at (0.212, 0.007, 0.251).

Its crystal system is monoclinic. For the uncorrected formation energy, the calculation gives -2454.7 kJ/mol of formula units. The total magnetization comes out at 0.00 μB/atom. The density of states at the Fermi level comes out at 0.00 states/eV/f.u.


A relaxed structure of Mg3BeGa, computed with PBE.

The structure belongs to space group Pm-3m (No. 221); the cell edges are 4.763, 4.763 and 4.763 Å and the angles 90.00°, 90.00° and 90.00°. The distinct sites, in fractional coordinates, are Mg at (0.000, 0.000, 0.500), Be at (0.000, 0.000, 0.000) and Ga at (0.500, 0.500, 0.500).

Its total energy is -2.031 eV/atom. Its crystal system is cubic. The total magnetization comes out at 0.00 μB/atom. The density of states at the Fermi level comes out at 1.30 states/eV/f.u.


A relaxed structure of Sc2AlTe, computed with PBE.

The structure belongs to space group C2/m (No. 12); the cell edges are 6.205, 7.951 and 3.553 Å and the angles 90.00°, 91.50° and 90.00°. The distinct sites, in fractional coordinates, are Sc at (0.250, 0.250, 0.000), Al at (0.000, 0.000, 0.500) and Te at (0.000, 0.500, 0.500).

Its crystal system is monoclinic. For the uncorrected formation energy, the calculation gives -197.3 kJ/mol of formula units. The total magnetization comes out at 0.00 μB/atom. The density of states at the Fermi level comes out at 3.93 states/eV/f.u.


A relaxed structure of SrRe2GeP, computed with PBE.

The structure belongs to space group P4/mmm (No. 123); the cell edges are 4.974, 4.974 and 5.258 Å and the angles 90.00°, 90.00° and 90.00°. The distinct sites, in fractional coordinates, are Sr at (0.000, 0.000, 0.000), Re at (0.000, 0.500, 0.000), Ge at (0.000, 0.000, 0.500) and P at (0.500, 0.500, 0.500).

Its total energy is -3.985 eV/atom. Its crystal system is tetragonal. The total magnetization comes out at 0.71 μB/atom. The density of states at the Fermi level comes out at 5.59 states/eV/f.u.


A relaxed structure of KAl2Re, computed with PBE.

The structure belongs to space group Pmmm (No. 47); the cell edges are 2.770, 3.829 and 7.941 Å and the angles 90.00°, 90.00° and 90.00°. The distinct sites, in fractional coordinates, are K at (0.000, 0.000, 0.000), Al at (0.500, 0.500, 0.334) and Re at (0.000, 0.000, 0.500).

Its total energy is -5.021 eV/atom. Its crystal system is orthorhombic. The total magnetization comes out at 0.00 μB/atom. The density of states at the Fermi level comes out at 3.49 states/eV/f.u.